Entry 1:
MnFeTcPt, relaxed, DFT PBE-GGA; total moment = 6.122 μB/cell; DOS(E_F) = 1.240 states/eV/atom; SG = F-43m
1.0
-2.756 1.533 2.890
-3.226 -2.444 1.385
0.030 -1.517 3.999
Fe Tc Pt Mn
1 1 1 1
Cartesian
-1.488 -0.607 2.069
0.000 0.000 0.000
-2.976 -1.214 4.137
-4.464 -1.820 6.206

Entry 2:
Ti5Mn2FePt2, relaxed, DFT PBE-GGA; total moment = 0.000 μB/cell; DOS(E_F) = 1.052 states/eV/atom; SG = P4/mbm
1.0
2.955 0.000 0.000
0.000 9.918 0.000
0.000 0.000 9.918
Mn Ti Fe Pt
4 10 2 4
Cartesian
0.000 1.305 6.264
0.000 8.613 3.654
0.000 3.654 1.305
0.000 6.264 8.613
1.478 5.625 6.898
1.478 1.940 0.666
1.478 9.252 1.940
1.478 4.959 0.000
1.478 0.000 4.959
1.478 3.019 5.625
1.478 4.293 3.019
1.478 0.666 7.978
1.478 7.978 9.252
1.478 6.898 4.293
0.000 0.000 0.000
0.000 4.959 4.959
0.000 3.267 8.226
0.000 8.226 6.651
0.000 1.692 3.267
0.000 6.651 1.692

Entry 3:
TiMnFePt, relaxed, DFT PBE-GGA; total moment = 4.981 μB/cell; DOS(E_F) = 0.227 states/eV/atom; SG = F-43m
1.0
-4.074 0.751 1.133
-2.302 -3.084 1.907
-1.044 0.355 4.151
Pt Mn Ti Fe
1 1 1 1
Cartesian
-3.710 -0.989 3.595
-1.855 -0.495 1.798
-5.566 -1.484 5.393
0.000 0.000 0.000

| no. | calculated formation energy (eV/atom) | total DFT energy (no corrections) (eV per atom) |
| --- | --- | --- |
| 1 | 0.00 | -8.512 |
| 2 | -0.25 | -8.086 |
| 3 | -0.40 | -8.294 |